1.
# Zr2AlIr

A relaxed structure of Zr2AlIr (GGA-PBE, Alexandria via LeMat-Bulk).

Cell lengths 3.969, 3.969, 9.421 Å; angles 90.00, 90.00, 90.00 degrees
Space group I-4m2 (No. 119)
Inequivalent atoms, fractional coordinates:
Zr 0.000 0.000 0.000 [2 per cell]
Zr 0.000 0.500 0.250 [2 per cell]
Al 0.000 0.500 0.750 [2 per cell]
Ir 0.000 0.000 0.500 [2 per cell]

=====

2.
# Zr6Al16Ir7

A relaxed structure of Zr6Al16Ir7 (GGA-PBE, Alexandria via LeMat-Bulk).

Cell lengths 12.357, 12.357, 12.357 Å; angles 90.00, 90.00, 90.00 degrees
Space group Fm-3m (No. 225)
Inequivalent atoms, fractional coordinates:
Zr 0.000 0.000 0.190 [24 per cell]
Al 0.120 0.120 0.380 [32 per cell]
Al 0.162 0.162 0.162 [32 per cell]
Ir 0.000 0.000 0.500 [4 per cell]
Ir 0.000 0.250 0.250 [24 per cell]

=====

3.
# Zr2AlIr

A relaxed structure of Zr2AlIr (GGA-PBE, Alexandria via LeMat-Bulk).

Cell lengths 3.234, 4.649, 10.055 Å; angles 90.00, 90.00, 90.00 degrees
Space group Imm2 (No. 44)
Inequivalent atoms, fractional coordinates:
Zr 0.000 0.000 0.000 [2 per cell]
Zr 0.000 0.500 0.229 [2 per cell]
Al 0.000 0.500 0.790 [2 per cell]
Ir 0.000 0.000 0.495 [2 per cell]

=====

4.
# Zr2Al2Ir

A relaxed structure of Zr2Al2Ir (GGA-PBE, Alexandria via LeMat-Bulk).

Computed properties:
* excess energy over the best structure of this formula in the dataset: 967 meV per atom

Cell lengths 3.876, 3.876, 12.896 Å; angles 90.00, 90.00, 90.00 degrees
Space group I4/mmm (No. 139)
Inequivalent atoms, fractional coordinates:
Zr 0.000 0.500 0.250 [4 per cell]
Al 0.000 0.000 0.090 [4 per cell]
Ir 0.000 0.000 0.500 [2 per cell]

=====

Summary of ΔE_f in eV per atom
-0.5451 -0.8554 -0.5950 0.3227
(order as listed above)
Summary of size of the total moment in μB per atom
0.000 0.000 0.000 0.000
(order as listed above)